{"formula": "MgFeW2", "functional": "GGA-PBE", "state": "relaxed", "lattice_angstrom": [[5.275, -0.039, -0.010], [-2.545, 4.621, -0.010], [0.427, 0.717, 2.531]], "species": ["Fe", "Mg", "W", "W"], "frac_coords": [[0.500, 0.000, 0.500], [0.000, 0.500, 0.500], [0.000, 0.000, 0.000], [0.500, 0.500, 0.000]], "sg": "No. 12", "formation_enthalpy_0k_kj_per_mol_atoms": 38.45}



{"formula": "Na2PmCl5", "functional": "GGA-PBE", "state": "relaxed", "lattice_angstrom": [[5.395, 0.000, 0.000], [-2.697, 6.913, 0.000], [0.000, 0.000, 13.904]], "species": ["Na", "Na", "Na", "Na", "Pm", "Pm", "Cl", "Cl", "Cl", "Cl", "Cl", "Cl", "Cl", "Cl", "Cl", "Cl"], "frac_coords": [[0.856, 0.711, 0.448], [0.856, 0.711, 0.052], [0.144, 0.289, 0.552], [0.144, 0.289, 0.948], [0.813, 0.626, 0.750], [0.187, 0.374, 0.250], [0.956, 0.912, 0.878], [0.956, 0.912, 0.622], [0.304, 0.609, 0.411], [0.304, 0.609, 0.089], [0.734, 0.468, 0.250], [0.266, 0.532, 0.750], [0.696, 0.391, 0.589], [0.696, 0.391, 0.911], [0.044, 0.088, 0.122], [0.044, 0.088, 0.378]], "raw_formation_energy_ev_per_fu": -16.19, "sg": "No. 63"}



{"formula": "HoTiHgPd", "functional": "GGA-PBE", "state": "relaxed", "lattice_angstrom": [[4.881, 0.000, 0.000], [2.440, 4.227, 0.000], [2.440, 1.409, 3.985]], "species": ["Ti", "Hg", "Pd", "Ho"], "frac_coords": [[0.250, 0.250, 0.250], [0.500, 0.500, 0.500], [0.000, 0.000, 0.000], [0.750, 0.750, 0.750]], "sg": "No. 216", "formation_enthalpy_0k_kj_per_mol_atoms": -32.54}



{"formula": "PuAgGeTe3", "functional": "GGA-PBE", "state": "relaxed", "lattice_angstrom": [[4.236, 0.000, 0.000], [0.000, 8.619, 1.167], [0.000, -3.097, 9.050]], "species": ["Pu", "Pu", "Ag", "Ag", "Ge", "Ge", "Te", "Te", "Te", "Te", "Te", "Te"], "frac_coords": [[0.250, 0.169, 0.238], [0.750, 0.831, 0.762], [0.250, 0.083, 0.582], [0.750, 0.917, 0.418], [0.250, 0.657, 0.153], [0.750, 0.343, 0.847], [0.750, 0.899, 0.120], [0.250, 0.101, 0.880], [0.250, 0.734, 0.504], [0.750, 0.266, 0.496], [0.750, 0.413, 0.150], [0.250, 0.587, 0.850]], "raw_formation_energy_ev_per_fu": -2.54, "sg": "No. 11"}



{"formula": "Pa3Ga2Se8", "functional": "GGA-PBE", "state": "relaxed", "lattice_angstrom": [[-4.993, -4.087, 3.322], [2.451, 2.386, 6.868], [-3.639, 6.275, 2.499]], "species": ["Pa", "Pa", "Pa", "Ga", "Ga", "Se", "Se", "Se", "Se", "Se", "Se", "Se", "Se"], "frac_coords": [[0.500, 0.000, 0.000], [0.000, 0.745, 0.255], [0.000, 0.255, 0.745], [0.477, 0.717, 0.717], [0.523, 0.283, 0.283], [0.865, 0.378, 0.378], [0.135, 0.622, 0.622], [0.839, 0.885, 0.885], [0.161, 0.115, 0.115], [0.671, 0.356, 0.875], [0.671, 0.875, 0.356], [0.329, 0.125, 0.644], [0.329, 0.644, 0.125]], "raw_formation_energy_ev_per_fu": -13.58, "sg": "No. 12"}



{"formula": "LaGeTe2", "functional": "GGA-PBE", "state": "relaxed", "lattice_angstrom": [[-2.611, 0.000, 9.442], [1.305, -2.261, 9.442], [1.305, 2.261, 9.442]], "species": ["Ge", "Te", "Te", "La"], "frac_coords": [[0.000, 0.000, 0.000], [0.101, 0.101, 0.101], [0.899, 0.899, 0.899], [0.500, 0.500, 0.500]], "raw_formation_energy_ev_per_fu": -1.99, "sg": "No. 166"}



| no. | DOS at the Fermi energy (states/eV/f.u.) | E_tot (eV/f.u.) |
| --- | --- | --- |
| 1 | 3.70 | -34.37 |
| 2 | 0.00 | -32.81 |
| 3 | 5.52 | -19.32 |
| 4 | 14.01 | -33.76 |
| 5 | 8.64 | -75.99 |
| 6 | 2.59 | -17.81 |